Entry from Alexandria: a relaxed structure of Ta2CdIn (PBE).

Calculated values
SG   I-42d
ΔH_f (0 K)   0.799 eV/atom
Final energy   -48.33 eV per cell
Spin magnetization   0.000 μB per formula unit
Crystal system   tetragonal

Cell: 7.6888 7.6888 6.1401 Å, 51.24 51.24 90.00°
With the nearest neighbours (Å) after each atom.
Element x y z (fractional)
Ta 0.1257 0.6250 0.2500  2 Cd 2.81, 2 In 2.81, 2 Ta 2.85
Ta 0.3750 0.3757 0.7500  2 Cd 2.81, 2 In 2.81, 2 Ta 2.85
Ta 0.6243 0.1250 0.2500  2 Cd 2.81, 2 In 2.81, 2 Ta 2.85
Ta 0.8750 0.8743 0.7500  2 Cd 2.81, 2 In 2.81, 2 Ta 2.85
In 0.7500 0.2500 0.5000  4 Ta 2.81, 2 Cd 2.85
In 0.0000 0.0000 0.0000  4 Ta 2.81, 2 Cd 2.85
Cd 0.5000 0.5000 0.0000  4 Ta 2.81, 2 In 2.85
Cd 0.2500 0.7500 0.5000  4 Ta 2.81, 2 In 2.85

Entry from Alexandria: a relaxed structure of TaCdIn (PBE).

Calculated values
SG   F-43m
ΔH_f (0 K)   0.956 eV/atom
Final energy   -12.64 eV per cell
Energy relative to the lowest polymorph listed for this composition   0.6641 eV per atom
Spin magnetization   0.002 μB per formula unit
Crystal system   cubic

Cell: 4.6464 4.6464 4.6464 Å, 60.00 60.00 60.00°
With the nearest neighbours (Å) after each atom.
Element x y z (fractional)
Cd 0.5000 0.5000 0.5000  4 In 2.85
Ta 0.0000 0.0000 0.0000  4 In 2.85
In 0.7500 0.7500 0.7500  4 Cd 2.85, 4 Ta 2.85

Entry from Alexandria: a relaxed structure of TaCdIn4 (PBE).

Calculated values
SG   F-43m
ΔH_f (0 K)   0.605 eV/atom
Final energy   -20.09 eV per cell
Spin magnetization   0.905 μB per formula unit
Crystal system   cubic

Cell: 5.8384 5.8384 5.8384 Å, 60.00 60.00 60.00°
With the nearest neighbours (Å) after each atom.
Element x y z (fractional)
In 0.3750 0.3750 0.8751  6 In 2.92
In 0.3750 0.8751 0.3750  6 In 2.92
In 0.8751 0.3750 0.3750  6 In 2.92
In 0.3750 0.3750 0.3750  6 In 2.92
Ta 0.7500 0.7500 0.7500  12 In 3.42, 4 Cd 3.58
Cd 0.0000 0.0000 0.0000  12 In 3.42, 4 Ta 3.58

Entry from Alexandria: a relaxed structure of TaCd3In (PBE).

Calculated values
SG   Pm-3m
ΔH_f (0 K)   1.391 eV/atom
Final energy   -10.38 eV per cell
Energy relative to the lowest polymorph listed for this composition   0.3813 eV per atom
Spin magnetization   3.267 μB per formula unit
Crystal system   cubic

Cell: 5.3235 5.3235 5.3235 Å, 90.00 90.00 90.00°
With the nearest neighbours (Å) after each atom.
Element x y z (fractional)
Ta 0.5000 0.5000 0.5000  12 Cd 3.76
Cd 0.5000 0.0000 0.0000  2 In 2.66
Cd 0.0000 0.5000 0.0000  2 In 2.66
Cd 0.0000 0.0000 0.5000  2 In 2.66
In 0.0000 0.0000 0.0000  6 Cd 2.66

Entry from Alexandria: a relaxed structure of Ta2CdIn (PBE).

Calculated values
SG   Pmmm
ΔH_f (0 K)   0.241 eV/atom
Final energy   -26.39 eV per cell
Spin magnetization   0.000 μB per formula unit
Crystal system   orthorhombic

Cell: 3.9205 4.2706 4.6131 Å, 90.00 90.00 90.00°
With the nearest neighbours (Å) after each atom.
Element x y z (fractional)
Ta 0.5000 0.5000 0.0000  4 Ta 2.90, 4 In 3.03, 4 Cd 3.14
Ta 0.0000 0.0000 0.0000  4 Ta 2.90, 4 Cd 3.03, 4 In 3.14
In 0.0000 0.5000 0.5000  4 Cd 2.90, 8 Ta 3.03-3.14
Cd 0.5000 0.0000 0.5000  4 In 2.90, 8 Ta 3.03-3.14

Entry from Alexandria: a relaxed structure of Ta2CdIn (PBE).

Calculated values
SG   R-3m
ΔH_f (0 K)   0.324 eV/atom
Final energy   -26.06 eV per cell
Spin magnetization   0.000 μB per formula unit
Crystal system   trigonal

Cell: 10.1908 10.1908 10.1908 Å, 17.01 17.01 17.01°
With the nearest neighbours (Å) after each atom.
Element x y z (fractional)
In 0.7500 0.7500 0.7500  6 In 3.01, 6 Ta 3.05
Cd 0.2500 0.2500 0.2500  6 Cd 3.01, 6 Ta 3.06
Ta 0.4996 0.4996 0.4996  6 Ta 3.01, 3 In 3.05, 3 Cd 3.06
Ta 0.0004 0.0004 0.0004  6 Ta 3.01, 3 In 3.05, 3 Cd 3.06

Entry from Alexandria: a relaxed structure of Ta2CdIn (PBE).

Calculated values
SG   Cmm2
ΔH_f (0 K)   0.159 eV/atom
Final energy   -26.72 eV per cell
Spin magnetization   0.000 μB per formula unit
Crystal system   orthorhombic

Cell: 3.0094 3.0094 9.5507 Å, 90.00 90.00 110.54°
With the nearest neighbours (Å) after each atom.
Element x y z (fractional)
Ta 0.5000 0.5000 0.2367  6 Ta 2.74-3.01, 2 Cd 2.97
Ta 0.0000 0.0000 0.0127  6 Ta 2.74-3.01, 2 In 2.96
Cd 0.0000 0.0000 0.4908  2 Ta 2.97, 4 Cd 3.01, 2 In 3.09
In 0.5000 0.5000 0.7597  2 Ta 2.96, 4 In 3.01, 2 Cd 3.09

Entry from Alexandria: a relaxed structure of TaCdIn (PBE).

Calculated values
SG   Imm2
ΔH_f (0 K)   0.443 eV/atom
Final energy   -14.18 eV per cell
Energy relative to the lowest polymorph listed for this composition   0.1517 eV per atom
Spin magnetization   0.000 μB per formula unit
Crystal system   orthorhombic

Cell: 5.7820 5.7820 5.7820 Å, 150.32 139.33 51.15°
With the nearest neighbours (Å) after each atom.
Element x y z (fractional)
In 0.3291 0.3291 0.0000  2 In 2.96, 4 Ta 3.02, 4 Cd 3.09
Ta 0.6667 0.6667 0.0000  2 Ta 2.96, 4 In 3.02, 4 Cd 3.02
Cd 0.0042 0.0042 0.0000  2 Cd 2.96, 4 Ta 3.02, 4 In 3.09

Entry from Alexandria: a relaxed structure of Ta2CdIn (PBE).

Calculated values
SG   Immm
ΔH_f (0 K)   0.240 eV/atom
Final energy   -26.40 eV per cell
Spin magnetization   0.000 μB per formula unit
Crystal system   orthorhombic

Cell: 5.4252 5.4252 5.4252 Å, 136.07 135.07 64.65°
With the nearest neighbours (Å) after each atom.
Element x y z (fractional)
Ta 0.5000 0.5000 0.0000  4 Ta 2.90, 4 Cd 3.06-3.09, 4 In 3.06-3.09
Ta 0.0000 0.0000 0.0000  4 Ta 2.90, 4 Cd 3.06-3.09, 4 In 3.06-3.09
In 0.2500 0.7500 0.5000  4 Cd 2.90, 8 Ta 3.06-3.09
Cd 0.7500 0.2500 0.5000  4 In 2.90, 8 Ta 3.06-3.09

Entry from Alexandria: a relaxed structure of TaCdIn (PBE).

Calculated values
SG   P3m1
ΔH_f (0 K)   0.291 eV/atom
Final energy   -14.63 eV per cell
Energy relative to the lowest polymorph listed for this composition   0.0000 eV per atom
Spin magnetization   0.000 μB per formula unit
Crystal system   trigonal

Cell: 3.0808 3.0808 7.6149 Å, 90.00 90.00 120.00°
With the nearest neighbours (Å) after each atom.
Element x y z (fractional)
In 0.3333 0.6667 0.3431  3 Ta 3.03, 6 In 3.08, 3 Cd 3.21
Ta 0.6667 0.3333 0.6653  3 In 3.03, 3 Cd 3.06, 6 Ta 3.08
Cd 0.0000 0.0000 0.9916  3 Ta 3.06, 6 Cd 3.08, 3 In 3.21

Number 1: N(E_F) 0.54 states/eV per atom. Number 2: N(E_F) 0.99 states/eV per atom. Number 3: N(E_F) 0.93 states/eV per atom. Number 4: N(E_F) 2.00 states/eV per atom. Number 5: N(E_F) 0.37 states/eV per atom. Number 6: N(E_F) 1.27 states/eV per atom. Number 7: N(E_F) 0.44 states/eV per atom. Number 8: N(E_F) 0.73 states/eV per atom. Number 9: N(E_F) 0.34 states/eV per atom. Number 10: N(E_F) 0.99 states/eV per atom.